a) A relaxed structure of La2Y2Ag. Source: Alexandria via LeMat-Bulk, functional GGA-PBE.

As for the magnetization: 0.0 μB per cell. The crystal system is tetragonal.

It has space group P4/mbm (No. 127), with a = 7.7787 Å, b = 7.7787 Å, c = 5.4964 Å, α = 90.00°, β = 90.00° and γ = 90.00°. The inequivalent atoms are La at (0.1379, 0.3621, 0.0000), Y at (0.1624, 0.6624, 0.5000) and Ag at (0.0000, 0.0000, 0.0000).

***

b) A relaxed structure of La2Y2Ag. Source: Alexandria via LeMat-Bulk, functional GGA-PBE.

As for the magnetization: 0.0 μB per cell. The crystal system is tetragonal.

It has space group P4/mbm (No. 127), with a = 7.7040 Å, b = 7.7040 Å, c = 5.5843 Å, α = 90.00°, β = 90.00° and γ = 90.00°. The inequivalent atoms are La at (0.1576, 0.3424, 0.0000), Y at (0.1509, 0.6509, 0.5000) and Ag at (0.0000, 0.0000, 0.5000).

***

c) A relaxed structure of La2Y2Ag. Source: Alexandria via LeMat-Bulk, functional GGA-PBE.

As for the magnetization: 0.3 μB per cell. The crystal system is tetragonal.

It has space group I4/mmm (No. 139), with a = 3.6854 Å, b = 3.6854 Å, c = 22.8172 Å, α = 90.00°, β = 90.00° and γ = 90.00°. The inequivalent atoms are La at (0.0000, 0.0000, 0.1925), Y at (0.0000, 0.0000, 0.4219) and Ag at (0.0000, 0.0000, 0.0000).

***

Which one sits at the bottom of the stability order? a) does.

***

a) A relaxed structure of LaY2Ag2. Source: Alexandria via LeMat-Bulk, functional GGA-PBE.

As for the magnetization: 0.0 μB per cell. The crystal system is orthorhombic.

It has space group Cmcm (No. 63), with a = 3.6730 Å, b = 27.4543 Å, c = 5.4193 Å, α = 90.00°, β = 90.00° and γ = 90.00°. The inequivalent atoms are La at (0.0000, 0.1442, 0.2500), Y at (0.0000, 0.0471, 0.7500), Y at (0.0000, 0.2337, 0.7500), Ag at (0.0000, 0.3583, 0.2500) and Ag at (0.0000, 0.4571, 0.7500).

***

b) A relaxed structure of LaY2Ag2. Source: Alexandria via LeMat-Bulk, functional GGA-PBE.

As for the magnetization: 0.0 μB per cell. The crystal system is tetragonal.

It has space group P4/mbm (No. 127), with a = 8.4476 Å, b = 8.4476 Å, c = 3.8448 Å, α = 90.00°, β = 90.00° and γ = 90.00°. The inequivalent atoms are La at (0.0000, 0.0000, 0.0000), Y at (0.1644, 0.3356, 0.5000) and Ag at (0.1249, 0.6249, 0.0000).

***

Which one sits at the bottom of the stability order? b) does.

***

a) A relaxed structure of LaY4Ag. Source: Alexandria via LeMat-Bulk, functional GGA-PBE.

As for the magnetization: 0.0 μB per cell. The crystal system is cubic.

It has space group F-43m (No. 216), with a = 9.2145 Å, b = 9.2145 Å, c = 9.2145 Å, α = 90.00°, β = 90.00° and γ = 90.00°. The inequivalent atoms are La at (0.0000, 0.0000, 0.0000), Y at (0.1252, 0.1252, 0.6252) and Ag at (0.2500, 0.2500, 0.2500).

***

b) A relaxed structure of LaY4Ag. Source: Alexandria via LeMat-Bulk, functional GGA-PBE.

As for the magnetization: 0.0 μB per cell. The crystal system is orthorhombic.

It has space group Cmc2_1 (No. 36), with a = 5.4957 Å, b = 21.3426 Å, c = 6.5491 Å, α = 90.00°, β = 90.00° and γ = 90.00°. The inequivalent atoms are La at (0.0000, 0.1358, 0.0000), Y at (0.0000, 0.0667, 0.5067), Y at (0.0000, 0.2595, 0.6280), Y at (0.0000, 0.3265, 0.1399), Y at (0.0000, 0.4665, 0.3516) and Ag at (0.0000, 0.3985, 0.7535).

***

Which one sits at the bottom of the stability order? a) does.

***

a) A relaxed structure of LaY3Ag. Source: Alexandria via LeMat-Bulk, functional GGA-PBE.

As for the magnetization: 0.0 μB per cell. The crystal system is cubic.

It has space group Pm-3m (No. 221), with a = 5.5995 Å, b = 5.5995 Å, c = 5.5995 Å, α = 90.00°, β = 90.00° and γ = 90.00°. The inequivalent atoms are La at (0.0000, 0.0000, 0.0000), Y at (0.0000, 0.5000, 0.5000) and Ag at (0.5000, 0.5000, 0.5000).

***

b) A relaxed structure of LaY3Ag. Source: Alexandria via LeMat-Bulk, functional GGA-PBE.

As for the magnetization: 0.0 μB per cell. The crystal system is cubic.

It has space group Pm-3m (No. 221), with a = 5.5957 Å, b = 5.5957 Å, c = 5.5957 Å, α = 90.00°, β = 90.00° and γ = 90.00°. The inequivalent atoms are La at (0.0000, 0.0000, 0.0000), Y at (0.0000, 0.0000, 0.5000) and Ag at (0.5000, 0.5000, 0.5000).

***

Which one sits at the bottom of the stability order? b) does.